1.
Material: ZnAg2SnO4
Method: DFT, PBE
State: optimized geometry

a = 5.866 Å, b = 5.866 Å, c = 5.866 Å
α = 126.74°, β = 126.74°, γ = 78.67°
Fractional positions:
Zn 0.000 0.000 0.000
Ag 0.500 0.500 0.000
Ag 0.750 0.250 0.500
Sn 0.250 0.750 0.500
O 0.125 0.061 0.435
O 0.310 0.875 0.936
O 0.626 0.690 0.565
O 0.939 0.374 0.064

Calculated values
uncorrected formation energy = -0.87 eV/atom
magnetization = 0.00 μB/f.u.
crystal system = tetragonal
calculated volume = 125 Å³ per cell

2.
Material: Zr2AgSnO
Method: DFT, PBE
State: optimized geometry

a = 5.344 Å, b = 5.344 Å, c = 3.885 Å
α = 90.00°, β = 90.00°, γ = 90.00°
Fractional positions:
Zr 0.000 0.500 0.000
Zr 0.500 0.000 0.000
Ag 0.000 0.000 0.000
Sn 0.500 0.500 0.500
O 0.000 0.000 0.500

Calculated values
uncorrected formation energy = 0.40 eV/atom
magnetization = 0.72 μB/f.u.
crystal system = tetragonal
calculated volume = 111 Å³ per cell

3.
Material: Sr3AgO4
Method: DFT, PBE
State: optimized geometry

a = 3.639 Å, b = 3.639 Å, c = 10.053 Å
α = 90.00°, β = 90.00°, γ = 90.00°
Fractional positions:
Sr 0.000 0.000 0.000
Sr 0.500 0.500 0.264
Sr 0.500 0.500 0.736
Ag 0.000 0.000 0.500
O 0.000 0.000 0.260
O 0.000 0.000 0.740
O 0.500 0.500 0.000
O 0.500 0.500 0.500

Calculated values
uncorrected formation energy = -2.03 eV/atom
magnetization = 0.90 μB/f.u.
crystal system = tetragonal
calculated volume = 133 Å³ per cell

4.
Material: SrAgO
Method: DFT, PBE
State: optimized geometry

a = 11.851 Å, b = 3.880 Å, c = 6.417 Å
α = 90.00°, β = 90.00°, γ = 90.00°
Fractional positions:
Sr 0.198 0.250 0.186
Sr 0.302 0.750 0.686
Sr 0.698 0.250 0.314
Sr 0.802 0.750 0.814
Ag 0.053 0.250 0.623
Ag 0.447 0.750 0.123
Ag 0.553 0.250 0.877
Ag 0.947 0.750 0.377
O 0.211 0.250 0.817
O 0.289 0.750 0.317
O 0.711 0.250 0.683
O 0.789 0.750 0.183

Calculated values
uncorrected formation energy = -1.39 eV/atom
magnetization = 0.00 μB/f.u.
crystal system = orthorhombic
calculated volume = 295 Å³ per cell